! MgZr2Ta2, optimized geometry, DFT GGA-PBE; values from VASP
! **Formation energy from the elements**: 0.253 eV/atom
! **Total moment**: 0.0 μB per formula unit
! **Energy**: -8.23 eV/atom
&SYSTEM
  ibrav = 0, nat = 10, ntyp = 3
/
ATOMIC_SPECIES
Mg 24.30 Mg.upf
Zr 91.22 Zr.upf
Ta 180.95 Ta.upf
ATOMIC_POSITIONS angstrom
Mg 0.000 0.000 0.000
Mg -5.106 -1.380 -0.753
Zr -4.842 -0.802 2.574
Zr -8.220 -0.877 0.483
Zr -6.484 1.243 -2.395
Zr -3.106 1.317 -0.304
Ta -6.383 -2.970 1.422
Ta -7.654 -1.452 -2.301
Ta -3.829 0.210 -2.929
Ta -2.559 -1.309 0.794
CELL_PARAMETERS angstrom
-5.084 1.115 -5.477
-5.129 -3.876 3.971
-1.114 3.201 1.685